Entry 1:
Material: Nb2CoCuN
Method: DFT, GGA-PBE
State: relaxed

Output
- Uncorrected formation energy: -1.42 eV per formula unit
- Calculated total energy: -41.09 eV/cell
- DOS at the Fermi energy: 1.10 states/eV/atom

abc: 4.2369 4.2369 3.7186
angles: 90.00 90.00 90.00
Sites, in units of the cell vectors:
N  0.0000  0.0000  0.0000
Co  0.0000  0.0000  0.5000
Nb  0.0000  0.5000  0.0000
Nb  0.5000  0.0000  0.0000
Cu  0.5000  0.5000  0.5000

---

Entry 2:
Material: Co2CuNiN
Method: DFT, GGA-PBE
State: relaxed

Output
- Uncorrected formation energy: 0.20 eV per formula unit
- Calculated total energy: -32.21 eV/cell
- Energy above the lowest structure with this stoichiometry: 0 meV/atom
- DOS at the Fermi energy: 1.32 states/eV/atom

abc: 3.7221 3.7221 3.7645
angles: 90.00 90.00 90.00
Sites, in units of the cell vectors:
Ni  0.0000  0.0000  0.5000
Cu  0.5000  0.5000  0.5000
N  0.0000  0.0000  0.0000
Co  0.5000  0.0000  0.0000
Co  0.0000  0.5000  0.0000

---

Entry 3:
Material: Co2CuNiN
Method: DFT, GGA-PBE
State: relaxed

Output
- Uncorrected formation energy: 0.86 eV per formula unit
- Calculated total energy: -31.56 eV/cell
- Energy above the lowest structure with this stoichiometry: 131 meV/atom
- DOS at the Fermi energy: 1.13 states/eV/atom

abc: 3.6857 3.6857 3.8780
angles: 90.00 90.00 90.00
Sites, in units of the cell vectors:
Ni  0.5000  0.5000  0.5000
Co  0.0000  0.5000  0.0000
Co  0.5000  0.0000  0.0000
Cu  0.0000  0.0000  0.5000
N  0.0000  0.0000  0.0000

---

Entry 4:
Material: CoCuNi2N
Method: DFT, GGA-PBE
State: relaxed

Output
- Uncorrected formation energy: 0.10 eV per formula unit
- Calculated total energy: -30.99 eV/cell
- DOS at the Fermi energy: 1.41 states/eV/atom

abc: 3.7509 3.7509 3.6992
angles: 90.00 90.00 90.00
Sites, in units of the cell vectors:
N  0.0000  0.0000  0.0000
Ni  0.0000  0.5000  0.0000
Ni  0.5000  0.0000  0.0000
Cu  0.5000  0.5000  0.5000
Co  0.0000  0.0000  0.5000